ZrFe2Te PBE optimized geometry; space-group type = P4mm, No. 99; size of the total moment = 1.0697 μB/atom; calculated volume = 17.5 Å³ per atom; uncorrected formation energy = 0.0546 eV per atom
1.0
-3.154 0.333 -1.058
0.248 -2.900 -1.646
-2.023 -3.051 5.071
Fe Te Zr
2 1 1
direct
0.500 0.500 0.217
0.000 0.000 0.032
0.000 0.000 0.466
0.500 0.500 0.785